Entry 1:
# B3C5

B3C5 after structural relaxation (GGA-PBE, Alexandria).

Results
The value obtained for the formation enthalpy at 0 K is 0.335 eV/atom. The calculation puts the total moment at 0.00 Bohr magnetons per cell. The space group is Amm2 (38).

Cell lengths 2.562, 4.766, 4.766 Å; angles 62.09, 90.00, 90.00 degrees
Atoms (fractional coordinates):
B  0.000  0.000  0.000
B  0.000  0.404  0.912
B  0.000  0.912  0.404
C  0.000  0.512  0.512
C  0.500  0.038  0.531
C  0.500  0.400  0.400
C  0.500  0.531  0.038
C  0.500  0.882  0.882

=====

Entry 2:
# B7C5

B7C5 after structural relaxation (GGA-PBE, Alexandria).

Results
The value obtained for the formation enthalpy at 0 K is 0.447 eV/atom. The calculation puts the total moment at 0.00 Bohr magnetons per cell. The space group is P1 (1).

Cell lengths 4.581, 4.603, 4.788 Å; angles 104.82, 105.29, 113.68 degrees
Atoms (fractional coordinates):
B  0.000  0.000  0.000
B  0.007  0.978  0.436
B  0.277  0.268  0.857
B  0.337  0.300  0.383
B  0.678  0.280  0.971
B  0.979  0.522  0.841
B  0.989  0.579  0.371
C  0.390  0.694  0.992
C  0.405  0.698  0.494
C  0.595  0.875  0.843
C  0.600  0.895  0.339
C  0.702  0.295  0.455

=====

Entry 3:
# B7C5

B7C5 after structural relaxation (GGA-PBE, Alexandria).

Results
The value obtained for the formation enthalpy at 0 K is 0.378 eV/atom. The calculation puts the total moment at 0.00 Bohr magnetons per cell. The space group is Cm (8).

Cell lengths 5.929, 5.929, 5.697 Å; angles 104.12, 104.12, 26.50 degrees
Atoms (fractional coordinates):
B  0.000  0.000  0.000
B  0.039  0.039  0.450
B  0.179  0.179  0.339
B  0.314  0.314  0.773
B  0.437  0.437  0.280
B  0.626  0.626  0.510
B  0.895  0.895  0.467
C  0.142  0.142  0.041
C  0.327  0.327  0.448
C  0.434  0.434  0.998
C  0.677  0.677  0.949
C  0.740  0.740  0.767

=====

Entry 4:
# B7C5

B7C5 after structural relaxation (GGA-PBE, Alexandria).

Results
The value obtained for the formation enthalpy at 0 K is 0.385 eV/atom. The calculation puts the total moment at 0.00 Bohr magnetons per cell. The space group is Pm (6).

Cell lengths 4.810, 2.603, 6.719 Å; angles 90.00, 95.03, 90.00 degrees
Atoms (fractional coordinates):
B  0.000  0.000  0.000
B  0.057  0.000  0.388
B  0.284  0.000  0.646
B  0.430  0.000  0.430
B  0.582  0.500  0.278
B  0.651  0.000  0.703
B  0.881  0.500  0.608
C  0.171  0.500  0.742
C  0.192  0.500  0.967
C  0.516  0.500  0.037
C  0.661  0.000  0.956
C  0.897  0.500  0.365

=====

Entry 5:
# BC

BC after structural relaxation (GGA-PBE, Alexandria).

Results
The value obtained for the formation enthalpy at 0 K is 0.378 eV/atom. The calculation puts the total moment at 0.00 Bohr magnetons per cell. The space group is Cm (8).

Cell lengths 6.783, 6.783, 4.832 Å; angles 102.36, 102.36, 21.52 degrees
Atoms (fractional coordinates):
B  0.000  0.000  0.000
B  0.346  0.346  0.729
B  0.504  0.504  0.482
B  0.639  0.639  0.319
B  0.654  0.654  0.670
B  0.778  0.778  0.476
C  0.123  0.123  0.115
C  0.181  0.181  0.892
C  0.297  0.297  0.009
C  0.466  0.466  0.774
C  0.833  0.833  0.193
C  0.949  0.949  0.271

=====

Entry 6:
# B7C5

B7C5 after structural relaxation (GGA-PBE, Alexandria).

Results
The value obtained for the formation enthalpy at 0 K is 0.383 eV/atom. The calculation puts the total moment at 0.00 Bohr magnetons per cell. The space group is Pm (6).

Cell lengths 4.882, 2.630, 7.932 Å; angles 90.00, 90.30, 90.00 degrees
Atoms (fractional coordinates):
B  0.000  0.000  0.000
B  0.050  0.000  0.542
B  0.378  0.000  0.500
B  0.504  0.500  0.990
B  0.594  0.500  0.540
B  0.666  0.000  0.211
B  0.889  0.500  0.315
C  0.180  0.500  0.027
C  0.202  0.500  0.229
C  0.349  0.000  0.294
C  0.676  0.000  0.004
C  0.898  0.500  0.521

=====

Entry 7:
# BC

BC after structural relaxation (GGA-PBE, Alexandria).

Results
The value obtained for the formation enthalpy at 0 K is 0.451 eV/atom. The calculation puts the total moment at 0.00 Bohr magnetons per cell. The space group is P3m1 (156).

Cell lengths 2.548, 2.548, 14.272 Å; angles 90.00, 90.00, 120.00 degrees
Atoms (fractional coordinates):
B  0.000  0.000  0.000
B  0.000  0.000  0.119
B  0.000  0.000  0.568
B  0.333  0.667  0.726
B  0.667  0.333  0.802
B  0.667  0.333  0.921
C  0.000  0.000  0.456
C  0.333  0.667  0.169
C  0.333  0.667  0.274
C  0.333  0.667  0.619
C  0.667  0.333  0.311
C  0.667  0.333  0.420

=====

Entry 8:
# BC11

BC11 after structural relaxation (GGA-PBE, Alexandria).

Results
The value obtained for the formation enthalpy at 0 K is 0.214 eV/atom. The calculation puts the total moment at 0.00 Bohr magnetons per cell. The space group is C222 (21).

Cell lengths 5.715, 5.715, 3.600 Å; angles 90.00, 90.00, 143.32 degrees
Atoms (fractional coordinates):
B  0.000  0.000  0.000
C  0.000  0.500  0.753
C  0.167  0.833  0.500
C  0.170  0.341  0.256
C  0.333  0.667  0.000
C  0.341  0.170  0.744
C  0.500  0.000  0.247
C  0.500  0.500  0.500
C  0.659  0.830  0.744
C  0.667  0.333  0.000
C  0.830  0.659  0.256
C  0.833  0.167  0.500

=====

What did the second record say?
# B7C5

B7C5 after structural relaxation (GGA-PBE, Alexandria).

Results
The value obtained for the formation enthalpy at 0 K is 0.447 eV/atom. The calculation puts the total moment at 0.00 Bohr magnetons per cell. The space group is P1 (1).

Cell lengths 4.581, 4.603, 4.788 Å; angles 104.82, 105.29, 113.68 degrees
Atoms (fractional coordinates):
B  0.000  0.000  0.000
B  0.007  0.978  0.436
B  0.277  0.268  0.857
B  0.337  0.300  0.383
B  0.678  0.280  0.971
B  0.979  0.522  0.841
B  0.989  0.579  0.371
C  0.390  0.694  0.992
C  0.405  0.698  0.494
C  0.595  0.875  0.843
C  0.600  0.895  0.339
C  0.702  0.295  0.455

=====

What did the seventh record say?
# BC

BC after structural relaxation (GGA-PBE, Alexandria).

Results
The value obtained for the formation enthalpy at 0 K is 0.451 eV/atom. The calculation puts the total moment at 0.00 Bohr magnetons per cell. The space group is P3m1 (156).

Cell lengths 2.548, 2.548, 14.272 Å; angles 90.00, 90.00, 120.00 degrees
Atoms (fractional coordinates):
B  0.000  0.000  0.000
B  0.000  0.000  0.119
B  0.000  0.000  0.568
B  0.333  0.667  0.726
B  0.667  0.333  0.802
B  0.667  0.333  0.921
C  0.000  0.000  0.456
C  0.333  0.667  0.169
C  0.333  0.667  0.274
C  0.333  0.667  0.619
C  0.667  0.333  0.311
C  0.667  0.333  0.420

=====

Question: Among the records above, which one has the lowest formation enthalpy at 0 K?
Answer: BC11